Entry 1:
BeIrRu3: optimized geometry, PBE.

Summary:
ΔE_f   0.5088 eV per atom
E above lowest polymorph   0.0 meV per atom
Space group   Pm-3m (221)
Magnetization   0.00 μB per cell

Unit cell a=4.0563 b=4.0563 c=4.0563 alpha=90.00 beta=90.00 gamma=90.00
Atoms (fractional coordinates):
Ir1 0.5000 0.5000 0.5000
Be1 0.0000 0.0000 0.0000
Ru1 0.0000 0.0000 0.5000
Ru2 0.5000 0.0000 0.0000
Ru3 0.0000 0.5000 0.0000

Entry 2:
Tb3CeHo2Er6: optimized geometry, PBE.

Summary:
ΔE_f   0.0349 eV per atom
Space group   C2/m (12)
Magnetization   1.09 μB per cell

Unit cell a=6.1064 b=6.1064 c=11.6666 alpha=95.00 beta=95.00 gamma=119.97
Each line ends with the local moment (μB).
Atoms (fractional coordinates):
Er1 0.7520 0.7520 0.2494  -0.02
Er2 0.2480 0.2480 0.7506  -0.02
Er3 0.0835 0.4147 0.2492  -0.02
Er4 0.9165 0.5853 0.7508  -0.02
Er5 0.4147 0.0835 0.2492  -0.02
Er6 0.5853 0.9165 0.7508  -0.02
Tb1 0.8325 0.1675 0.5000  0.02
Tb2 0.5000 0.5000 0.5000  0.02
Tb3 0.1675 0.8325 0.5000  0.02
Ho1 0.3333 0.6667 0.0000  -0.04
Ho2 0.6667 0.3333 0.0000  -0.04
Ce1 0.0000 0.0000 0.0000  -0.74

Entry 3:
CaBe2V: optimized geometry, PBE.

Summary:
ΔE_f   0.7540 eV per atom
E above lowest polymorph   150.6 meV per atom
Space group   I4_1/amd (141)
Magnetization   6.86 μB per cell

Unit cell a=4.3289 b=4.3289 c=9.0218 alpha=76.12 beta=76.12 gamma=90.00
Each line ends with the local moment (μB).
Atoms (fractional coordinates):
V1 0.7500 0.2500 0.5000  2.60
V2 0.0000 0.0000 0.0000  2.60
Be1 0.8750 0.1257 0.7500  0.02
Be2 0.3750 0.1243 0.7500  0.02
Be3 0.8757 0.1250 0.2500  0.02
Be4 0.8743 0.6250 0.2500  0.02
Ca1 0.5000 0.5000 0.0000  0.09
Ca2 0.2500 0.7500 0.5000  0.09

Entry 4:
PrEuHgSb: optimized geometry, PBE.

Summary:
Formation energy (no corrections)   -701 meV per atom
Space group   F-43m (216)
Magnetization   7.72 μB per cell

Unit cell a=5.5043 b=5.5043 c=5.5043 alpha=60.00 beta=60.00 gamma=60.00
Each line ends with the local moment (μB).
Atoms (fractional coordinates):
Sb1 0.5000 0.5000 0.5000  -0.04
Eu1 0.2500 0.2500 0.2500  6.90
Pr1 0.7500 0.7500 0.7500  0.23
Hg1 0.0000 0.0000 0.0000  0.03

Entry 5:
Nd3ScZn8: optimized geometry, PBE.

Summary:
ΔE_f   -0.3075 eV per atom
Space group   R3m (160)
Magnetization   0.00 μB per cell

Unit cell a=5.5125 b=5.5125 c=9.5134 alpha=73.16 beta=73.16 gamma=60.00
Atoms (fractional coordinates):
Nd1 0.9991 0.9991 0.0028
Nd2 0.5003 0.5003 0.4992
Nd3 0.3752 0.3752 0.8744
Sc1 0.8751 0.8751 0.3748
Zn1 0.9374 0.9374 0.6816
Zn2 0.1876 0.1876 0.4374
Zn3 0.4363 0.4363 0.1933
Zn4 0.6877 0.6877 0.9369
Zn5 0.9374 0.4436 0.6816
Zn6 0.4363 0.9341 0.1933
Zn7 0.9341 0.4363 0.1933
Zn8 0.4436 0.9374 0.6816

Entry 6:
VFe2RhC: optimized geometry, PBE.

Summary:
ΔE_f   -0.0476 eV per atom
Space group   P4/mmm (123)
Magnetization   3.01 μB per cell

Unit cell a=3.7716 b=3.7716 c=3.9916 alpha=90.00 beta=90.00 gamma=90.00
Each line ends with the local moment (μB).
Atoms (fractional coordinates):
Rh1 0.5000 0.5000 0.5000  0.26
Fe1 0.0000 0.5000 0.0000  1.67
Fe2 0.5000 0.0000 0.0000  1.67
C1 0.0000 0.0000 0.0000  -0.03
V1 0.0000 0.0000 0.5000  -0.44

Entry 7:
SrTmCuO3: optimized geometry, PBE.

Summary:
Formation energy (no corrections)   -2472 meV per atom
Space group   Cmcm (63)
Magnetization   0.00 μB per cell

Unit cell a=3.6378 b=6.5360 c=8.3182 alpha=90.00 beta=90.00 gamma=106.16
Atoms (fractional coordinates):
O1 0.0625 0.1250 0.7500
O2 0.3861 0.7723 0.9686
O3 0.9375 0.8750 0.2500
O4 0.6139 0.2277 0.4686
O5 0.3861 0.7723 0.5314
O6 0.6139 0.2277 0.0314
Tm1 0.0000 0.0000 0.5000
Tm2 0.0000 0.0000 0.0000
Sr1 0.3127 0.6254 0.2500
Sr2 0.6873 0.3746 0.7500
Cu1 0.6123 0.2246 0.2500
Cu2 0.3877 0.7754 0.7500

Entry 8:
Tm4GeSb2P: optimized geometry, PBE.

Summary:
Formation energy (no corrections)   -1072 meV per atom
Space group   P2/m (10)
Magnetization   0.00 μB per cell

Unit cell a=4.1075 b=7.2125 c=7.3401 alpha=108.75 beta=90.00 gamma=90.00
Atoms (fractional coordinates):
P1 0.0000 0.0000 0.0000
Sb1 0.0000 0.5000 0.5000
Sb2 0.5000 0.0000 0.5000
Tm1 0.5000 0.2370 0.2226
Tm2 0.0000 0.7466 0.2274
Tm3 0.5000 0.7630 0.7774
Tm4 0.0000 0.2534 0.7726
Ge1 0.5000 0.5000 0.0000

Entry 9:
Si2SbP: optimized geometry, PBE.

Summary:
Formation energy (no corrections)   348 meV per atom
E above lowest polymorph   121.5 meV per atom
Space group   P4/mmm (123)
Magnetization   0.00 μB per cell

Unit cell a=3.8105 b=3.8151 c=5.3347 alpha=90.00 beta=90.00 gamma=90.00
Atoms (fractional coordinates):
P1 0.5000 0.5000 0.5000
Si1 0.0000 0.0000 0.0000
Si2 0.5000 0.5000 0.0000
Sb1 0.0000 0.0000 0.5000

Entry 10:
ZnCrMo2: optimized geometry, PBE.

Summary:
ΔE_f   0.2450 eV per atom
Space group   F-43m (216)
Magnetization   2.02 μB per cell

Unit cell a=4.3733 b=4.3733 c=4.3733 alpha=120.01 beta=120.01 gamma=89.98
Each line ends with the local moment (μB).
Atoms (fractional coordinates):
Cr1 0.7500 0.2500 0.5000  2.18
Mo1 0.0000 0.0000 0.0000  -0.39
Mo2 0.2500 0.7500 0.5000  0.12
Zn1 0.5000 0.5000 0.0000  -0.01

Entry 11:
CsNaU2Cl8: optimized geometry, PBE.

Summary:
Formation energy (no corrections)   -1722 meV per atom
Space group   P-3 (147)
Magnetization   6.00 μB per cell

Unit cell a=7.2828 b=7.2828 c=8.6906 alpha=90.00 beta=90.00 gamma=120.00
Each line ends with the local moment (μB).
Atoms (fractional coordinates):
Cl1 0.6360 0.6972 0.1456  -0.02
Cl2 0.0613 0.3640 0.1456  -0.02
Cl3 0.3640 0.3028 0.8544  -0.02
Cl4 0.6667 0.3333 0.3853  -0.02
Cl5 0.9387 0.6360 0.8544  -0.02
Cl6 0.3333 0.6667 0.6147  -0.02
Cl7 0.6972 0.0613 0.8544  -0.02
Cl8 0.3028 0.9387 0.1456  -0.02
Na1 0.0000 0.0000 0.0000  0.00
U1 0.6667 0.3333 0.0814  2.86
U2 0.3333 0.6667 0.9186  2.86
Cs1 0.0000 0.0000 0.5000  0.00

Entry 12:
Zn3AsRh4: optimized geometry, PBE.

Summary:
ΔE_f   -0.4289 eV per atom
Space group   P4/mmm (123)
Magnetization   0.00 μB per cell

Unit cell a=4.2802 b=6.0755 c=8.5591 alpha=90.00 beta=90.00 gamma=90.00
Atoms (fractional coordinates):
Rh1 0.5000 0.2584 0.5000
Rh2 0.5000 0.2584 0.0000
Rh3 0.0000 0.2584 0.2500
Rh4 0.5000 0.7416 0.5000
Rh5 0.5000 0.7416 0.0000
Rh6 0.0000 0.7416 0.2500
Rh7 0.0000 0.2584 0.7500
Rh8 0.0000 0.7416 0.7500
Zn1 0.0000 0.0000 0.5000
Zn2 0.4999 0.0000 0.7500
Zn3 0.0000 0.0000 0.0000
Zn4 0.4999 0.5000 0.7500
Zn5 0.5001 0.0000 0.2500
Zn6 0.5001 0.5000 0.2500
As1 0.0000 0.5000 0.0000
As2 0.0000 0.5000 0.5000